PuZn3Ni: relaxed, GGA-PBE.

Summary:
As for the uncorrected energy: -4.798 eV/atom. As for the density of states at the Fermi level: 11.25 states/eV/f.u. The value obtained for the formation energy is -0.01 eV/atom. The symmetry is Amm2, No. 38.

Cell: 4.2903 5.2815 5.2815 Å, 50.82 90.00 90.00°
Fractional positions:
Pu 0.0000 0.0000 0.0000
Zn 0.0000 0.6949 0.6949
Zn 0.5000 0.2247 0.2247
Zn 0.5000 0.5088 0.5088
Ni 0.0000 0.3400 0.3400